[1]
VASP calculation (PBE) on a relaxed MgPaZnHg crystal.

Cell and atoms, written as extended XYZ:
```
4
Lattice="-0.847 1.721 4.614 -4.094 -1.425 2.485 0.400 -3.069 3.923" Properties=species:S:1:pos:R:3 pbc="T T T"
Mg -1.135 -0.693 2.756
Zn 0.000 0.000 0.000
Pa -3.406 -2.079 8.267
Hg -2.271 -1.386 5.511
```

- Energy of formation: -0.0129 eV/atom



[2]
VASP calculation (PBE) on a relaxed YZnCd3 crystal.

Cell and atoms, written as extended XYZ:
```
5
Lattice="-4.325 2.483 -0.124 -2.310 -4.106 -1.640 -0.919 -1.364 4.709" Properties=species:S:1:pos:R:3 pbc="T T T"
Y -3.777 -1.493 1.473
Zn 0.000 0.000 0.000
Cd -1.155 -2.053 -0.820
Cd -0.459 -0.682 2.355
Cd -2.162 1.242 -0.062
```

- Relative energy among the computed polymorphs: 1.64 eV per formula unit
- Energy of formation: 0.1052 eV/atom



[3]
VASP calculation (PBE) on a relaxed Tb2P3IrRh12 crystal.

Cell and atoms, written as extended XYZ:
```
18
Lattice="-1.918 -3.448 5.395 -3.796 -4.503 -3.160 4.577 -4.853 -0.406" Properties=species:S:1:pos:R:3 pbc="T T T"
Tb -0.709 -7.989 1.141
Tb -0.427 -4.815 0.688
P -0.959 -1.724 2.697
P -1.898 -2.252 -1.580
P 2.289 -2.427 -0.203
Ir 0.000 0.000 0.000
Rh 2.057 -7.322 0.452
Rh -3.205 -8.192 1.714
Rh 0.008 -8.888 -1.155
Rh -1.454 -6.562 3.587
Rh 0.937 -8.365 3.076
Rh -2.469 -7.133 -1.036
Rh -3.193 -5.483 1.377
Rh 2.068 -4.612 0.115
Rh -1.145 -3.917 2.985
Rh 0.317 -6.242 -1.758
Rh -2.074 -4.439 -1.247
Rh 1.332 -5.672 2.866
```

- Energy of formation: -0.1265 eV/atom



[4]
VASP calculation (PBE) on a relaxed Sr3TlO crystal.

Cell and atoms, written as extended XYZ:
```
10
Lattice="-5.880 1.296 0.846 -2.154 -5.858 -5.995 -2.750 -2.534 6.594" Properties=species:S:1:pos:R:3 pbc="T T T"
Sr -2.900 -4.611 -4.102
Sr -8.663 -4.579 1.280
Sr -4.197 -0.058 1.755
Sr -1.918 -1.380 -0.840
Sr -5.553 -3.208 -1.453
Sr -7.549 -1.220 3.882
Tl -6.297 -6.466 -0.831
Tl -5.279 -3.523 2.175
O -6.377 -3.621 -3.613
O -1.882 -0.792 1.433
```

- Formation energy (no corrections): -1207 meV/atom